An optimized crystal structure of Sm2Ni3As4Pt, computed with PBE.

Output
- Space group: No. 115
- Calculated density: 9.3 g cm⁻³
- Raw total energy: -5.97 eV/atom
- Formation enthalpy at 0 K: -0.828 eV per atom

The structure in extended XYZ format:
```
10
Lattice="4.262 0.000 0.000 0.000 4.262 0.000 0.000 0.000 9.539" Properties=species:S:1:pos:R:3 pbc="T T T"
Sm 2.131 0.000 2.350
Sm 0.000 2.131 7.189
Ni 0.000 0.000 4.769
Ni 2.131 0.000 8.444
Ni 0.000 2.131 1.095
As 2.131 2.131 0.000
As 0.000 0.000 0.000
As 2.131 0.000 6.100
As 0.000 2.131 3.439
Pt 2.131 2.131 4.769
```